# YFe2 | the Alexandria database | PBE-GGA | optimized geometry
# Size of the total moment: 17.79 μB/cell
# DOS(E_F): 19.27 states/eV per cell
# ΔE_f: 1.236 eV per atom
data_YFe2
_space_group_name_H-M_alt 'P 1'
_space_group_IT_number 1
_cell_length_a 6.331
_cell_length_b 6.331
_cell_length_c 6.331
_cell_angle_alpha 90.00
_cell_angle_beta 90.00
_cell_angle_gamma 90.00
loop_
_space_group_symop_operation_xyz
'x,y,z'
loop_
_atom_site_label
_atom_site_fract_x
_atom_site_fract_y
_atom_site_fract_z
_atom_site_occupancy
Fe1 0.400 0.400 0.400 1
Fe2 0.900 0.400 0.100 1
Fe3 0.900 0.100 0.600 1
Fe4 0.100 0.900 0.400 1
Y1 0.000 0.500 0.500 1
Y2 0.000 0.000 0.000 1
Y3 0.500 0.500 0.000 1
Fe5 0.600 0.900 0.100 1
Fe6 0.400 0.100 0.900 1
Y4 0.500 0.000 0.500 1
Fe7 0.100 0.600 0.900 1
Fe8 0.600 0.600 0.600 1

# SrEuMgTl | the Alexandria database | PBE-GGA | optimized geometry
# Size of the total moment: 7.08 μB/cell
# DOS(E_F): 12.92 states/eV per cell
# ΔE_f: -0.252 eV per atom
data_SrEuMgTl
_space_group_name_H-M_alt 'P 1'
_space_group_IT_number 1
_cell_length_a 5.732
_cell_length_b 5.732
_cell_length_c 5.732
_cell_angle_alpha 60.00
_cell_angle_beta 60.00
_cell_angle_gamma 60.00
loop_
_space_group_symop_operation_xyz
'x,y,z'
loop_
_atom_site_label
_atom_site_fract_x
_atom_site_fract_y
_atom_site_fract_z
_atom_site_occupancy
Mg1 0.500 0.500 0.500 1
Tl1 0.000 0.000 0.000 1
Eu1 0.250 0.250 0.250 1
Sr1 0.750 0.750 0.750 1

# CdNiAgAu | the Alexandria database | PBE-GGA | optimized geometry
# Size of the total moment: 0.00 μB/cell
# DOS(E_F): 1.83 states/eV per cell
# ΔE_f: 0.049 eV per atom
data_CdNiAgAu
_space_group_name_H-M_alt 'P 1'
_space_group_IT_number 1
_cell_length_a 4.566
_cell_length_b 4.566
_cell_length_c 4.566
_cell_angle_alpha 60.00
_cell_angle_beta 60.00
_cell_angle_gamma 60.00
loop_
_space_group_symop_operation_xyz
'x,y,z'
loop_
_atom_site_label
_atom_site_fract_x
_atom_site_fract_y
_atom_site_fract_z
_atom_site_occupancy
Cd1 0.750 0.750 0.750 1
Au1 0.250 0.250 0.250 1
Ni1 0.500 0.500 0.500 1
Ag1 0.000 0.000 0.000 1

# NdDyV | the Alexandria database | PBE-GGA | optimized geometry
# Size of the total moment: 0.03 μB/cell
# DOS(E_F): 10.88 states/eV per cell
# ΔE_f: 0.520 eV per atom
data_NdDyV
_space_group_name_H-M_alt 'P 1'
_space_group_IT_number 1
_cell_length_a 4.636
_cell_length_b 4.636
_cell_length_c 7.666
_cell_angle_alpha 90.00
_cell_angle_beta 90.00
_cell_angle_gamma 90.00
loop_
_space_group_symop_operation_xyz
'x,y,z'
loop_
_atom_site_label
_atom_site_fract_x
_atom_site_fract_y
_atom_site_fract_z
_atom_site_occupancy
V1 0.000 0.000 0.000 1
Nd1 0.000 0.500 0.276 1
Nd2 0.500 0.000 0.724 1
V2 0.500 0.500 0.000 1
Dy1 0.000 0.500 0.755 1
Dy2 0.500 0.000 0.245 1

# Rb2SbO | the Alexandria database | PBE-GGA | optimized geometry
# Uncorrected formation energy: -621 meV per atom
# Size of the total moment: 0.00 μB/cell
# DOS(E_F): 6.10 states/eV per cell
# Distance to the lowest polymorph of the same formula: 0.0 kJ per mole of atoms
data_Rb2SbO
_space_group_name_H-M_alt 'P 1'
_space_group_IT_number 1
_cell_length_a 11.821
_cell_length_b 11.821
_cell_length_c 8.654
_cell_angle_alpha 46.92
_cell_angle_beta 46.92
_cell_angle_gamma 90.00
loop_
_space_group_symop_operation_xyz
'x,y,z'
loop_
_atom_site_label
_atom_site_fract_x
_atom_site_fract_y
_atom_site_fract_z
_atom_site_occupancy
Sb1 0.000 0.000 0.000 1
Rb1 0.320 0.625 0.250 1
Rb2 0.375 0.570 0.750 1
O1 0.500 0.500 0.000 1
Rb3 0.430 0.125 0.250 1
O2 0.250 0.750 0.500 1
Rb4 0.875 0.680 0.750 1
Sb2 0.750 0.250 0.500 1

# Ce2SnSb2 | the Alexandria database | PBE-GGA | optimized geometry
# Uncorrected formation energy: -307 meV per atom
# Size of the total moment: 3.73 μB/cell
# DOS(E_F): 25.72 states/eV per cell
data_Ce2SnSb2
_space_group_name_H-M_alt 'P 1'
_space_group_IT_number 1
_cell_length_a 7.622
_cell_length_b 7.622
_cell_length_c 10.169
_cell_angle_alpha 93.80
_cell_angle_beta 93.80
_cell_angle_gamma 145.39
loop_
_space_group_symop_operation_xyz
'x,y,z'
loop_
_atom_site_label
_atom_site_fract_x
_atom_site_fract_y
_atom_site_fract_z
_atom_site_occupancy
Sn1 0.500 0.500 0.000 1
Sb1 0.125 0.375 0.750 1
Sb2 0.625 0.375 0.750 1
Ce1 0.405 0.595 0.500 1
Ce2 0.845 0.155 0.000 1
Ce3 0.155 0.845 0.000 1
Sb3 0.625 0.375 0.250 1
Sn2 0.750 0.250 0.500 1
Sb4 0.625 0.875 0.250 1
Ce4 0.095 0.905 0.500 1

For each record above, in turn, the calculated total DFT energy (no corrections) values are -78.7 -16.9 -12.6 -33.9 -27.0 -51.3 eV/cell.